PBEsol AgSbS2, relaxed; N(E_F) = 0.8170 states/eV/atom
1.0
-1.139 2.867 -1.783
-2.517 2.090 1.409
4.460 6.108 3.412
Sb S Ag
1 2 1
direct
0.000 0.000 0.000 Sb
0.892 0.892 0.323 S
0.108 0.108 0.677 S
0.500 0.500 0.500 Ag

Entry from the Alexandria database: a relaxed AgSbS2 crystal (PBEsol).

Geometry as POSCAR:
```
AgSbS2
1.0
3.990 0.000 0.000
1.995 3.455 0.000
1.995 1.152 7.539
Sb S Ag
1 2 1
direct
0.500 0.500 0.500 Sb
0.898 0.898 0.306 S
0.102 0.102 0.694 S
0.000 0.000 0.000 Ag
```

PBEsol AgSbS2, relaxed; N(E_F) = 0.0855 states/eV/atom
1.0
-0.126 5.166 1.590
-2.883 1.281 -4.391
-3.172 -4.196 4.187
Sb S Ag
2 4 2
direct
0.000 0.000 0.000 Sb
0.250 0.750 0.500 Sb
0.247 0.247 0.494 S
0.753 0.753 0.506 S
0.003 0.503 0.006 S
0.497 0.997 0.994 S
0.500 0.500 0.000 Ag
0.750 0.250 0.500 Ag

Entry from the Alexandria database: a relaxed AgSbS2 crystal (PBEsol).

Geometry as POSCAR:
```
AgSbS2
1.0
-3.043 -3.644 -2.769
2.080 -4.008 3.132
-3.593 4.509 3.397
Sb S Ag
2 4 2
direct
0.005 0.995 0.000 Sb
0.755 0.245 0.500 Sb
0.463 0.999 0.998 S
0.001 0.537 0.002 S
0.748 0.785 0.498 S
0.215 0.252 0.502 S
0.283 0.717 0.500 Ag
0.533 0.467 0.000 Ag
```

Entry from the Alexandria database: a relaxed AgSbS2 crystal (PBEsol).

Geometry as POSCAR:
```
AgSbS2
1.0
-2.487 0.103 3.505
0.627 -6.376 -2.004
10.640 0.946 7.520
Ag Sb S
4 4 8
direct
0.500 0.000 0.000 Ag
0.990 0.000 0.750 Ag
0.500 0.000 0.500 Ag
0.010 0.000 0.250 Ag
0.201 0.500 0.622 Sb
0.701 0.500 0.878 Sb
0.799 0.500 0.378 Sb
0.299 0.500 0.122 Sb
0.935 0.222 0.919 S
0.713 0.778 0.581 S
0.065 0.778 0.081 S
0.287 0.222 0.419 S
0.783 0.281 0.196 S
0.498 0.281 0.696 S
0.217 0.719 0.804 S
0.502 0.719 0.304 S
```

Entry from the Alexandria database: a relaxed Tl3Ag3Sb2S6 crystal (PBEsol).

Geometry as POSCAR:
```
Tl3Ag3Sb2S6
1.0
11.078 0.018 0.000
-5.221 10.286 0.000
0.000 0.000 11.725
Tl Ag Sb S
12 12 8 24
direct
0.902 0.114 0.114 Tl
0.429 0.271 0.249 Tl
0.227 0.030 0.510 Tl
0.273 0.470 0.010 Tl
0.098 0.886 0.886 Tl
0.402 0.614 0.386 Tl
0.727 0.530 0.990 Tl
0.598 0.386 0.614 Tl
0.773 0.970 0.490 Tl
0.071 0.229 0.749 Tl
0.929 0.771 0.251 Tl
0.571 0.729 0.751 Tl
0.319 0.434 0.660 Ag
0.545 0.076 0.639 Ag
0.955 0.424 0.139 Ag
0.045 0.576 0.861 Ag
0.416 0.947 0.870 Ag
0.916 0.447 0.630 Ag
0.584 0.053 0.130 Ag
0.084 0.553 0.370 Ag
0.681 0.566 0.340 Ag
0.455 0.924 0.361 Ag
0.819 0.934 0.840 Ag
0.181 0.066 0.160 Ag
0.087 0.260 0.418 Sb
0.587 0.760 0.082 Sb
0.742 0.247 0.853 Sb
0.258 0.753 0.147 Sb
0.913 0.740 0.582 Sb
0.413 0.240 0.918 Sb
0.242 0.747 0.647 Sb
0.758 0.253 0.353 Sb
0.636 0.899 0.251 S
0.702 0.293 0.160 S
0.679 0.678 0.526 S
0.321 0.322 0.474 S
0.821 0.822 0.026 S
0.834 0.478 0.420 S
0.474 0.845 0.572 S
0.666 0.022 0.920 S
0.298 0.707 0.840 S
0.044 0.050 0.326 S
0.334 0.978 0.080 S
0.364 0.101 0.749 S
0.166 0.522 0.580 S
0.179 0.178 0.974 S
0.136 0.399 0.249 S
0.864 0.601 0.751 S
0.026 0.655 0.072 S
0.526 0.155 0.428 S
0.798 0.207 0.660 S
0.956 0.950 0.674 S
0.202 0.793 0.340 S
0.456 0.450 0.826 S
0.974 0.345 0.928 S
0.544 0.550 0.174 S
```

Entry from the Alexandria database: a relaxed ScAgS2 crystal (PBEsol).

Geometry as POSCAR:
```
ScAgS2
1.0
3.722 0.000 0.000
1.861 3.224 0.000
1.861 1.075 7.383
Sc S Ag
1 2 1
direct
0.500 0.500 0.500 Sc
0.896 0.896 0.313 S
0.104 0.104 0.687 S
0.000 0.000 0.000 Ag
```

Entry from the Alexandria database: a relaxed SiAg8S6 crystal (PBEsol).

Geometry as POSCAR:
```
SiAg8S6
1.0
-0.190 -4.911 -5.392
-3.623 -7.142 6.632
-13.849 4.051 -3.202
Si Ag S
4 32 24
direct
0.268 0.031 0.377 Si
0.732 0.531 0.623 Si
0.232 0.031 0.877 Si
0.768 0.531 0.123 Si
0.085 0.367 0.933 Ag
0.140 0.483 0.759 Ag
0.860 0.983 0.241 Ag
0.360 0.483 0.259 Ag
0.265 0.542 0.062 Ag
0.735 0.042 0.938 Ag
0.235 0.542 0.562 Ag
0.765 0.042 0.438 Ag
0.393 0.681 0.410 Ag
0.607 0.181 0.590 Ag
0.107 0.681 0.910 Ag
0.893 0.181 0.090 Ag
0.491 0.800 0.221 Ag
0.509 0.300 0.779 Ag
0.009 0.800 0.721 Ag
0.991 0.300 0.279 Ag
0.915 0.867 0.067 Ag
0.640 0.983 0.741 Ag
0.585 0.867 0.567 Ag
0.415 0.367 0.433 Ag
0.119 0.699 0.269 Ag
0.881 0.199 0.731 Ag
0.381 0.699 0.769 Ag
0.619 0.199 0.231 Ag
0.481 0.766 0.012 Ag
0.519 0.266 0.988 Ag
0.019 0.766 0.512 Ag
0.981 0.266 0.488 Ag
0.722 0.511 0.366 Ag
0.278 0.011 0.634 Ag
0.778 0.511 0.866 Ag
0.222 0.011 0.134 Ag
0.000 0.405 0.122 S
0.000 0.905 0.878 S
0.500 0.405 0.622 S
0.500 0.905 0.378 S
0.774 0.650 0.005 S
0.226 0.150 0.995 S
0.726 0.650 0.505 S
0.274 0.150 0.495 S
0.769 0.656 0.238 S
0.231 0.156 0.762 S
0.731 0.656 0.738 S
0.269 0.156 0.262 S
0.156 0.514 0.386 S
0.844 0.014 0.614 S
0.344 0.514 0.886 S
0.656 0.014 0.114 S
0.221 0.775 0.117 S
0.779 0.275 0.883 S
0.279 0.775 0.617 S
0.721 0.275 0.383 S
0.031 0.908 0.372 S
0.969 0.408 0.628 S
0.469 0.908 0.872 S
0.531 0.408 0.128 S
```

no.,formation energy from raw total energies (meV/atom)
1,165
2,-92
3,-170
4,-184
5,-200
6,-237
7,-1203
8,-202